# 1
12
Lattice="-2.922 -1.697 6.828 -4.956 -1.047 -2.810 1.230 -4.340 -0.552" Properties=species:S:1:pos:R:3 comment="TaZn (PBE, optimized geometry)" total_magnetization_mub_per_cell=0.01 total_energy_ev_per_atom=-6.4697 pbc="T T T"
Ta -2.376 -0.859 1.459
Ta -2.747 -3.116 -0.328
Ta -4.911 -1.407 0.120
Ta -5.607 -4.074 0.833
Ta -2.815 -1.318 4.092
Ta -3.185 -3.575 2.305
Zn -5.408 -1.886 2.779
Zn -4.884 -1.040 -2.705
Zn -3.185 -3.939 5.167
Zn -0.154 -2.548 0.984
Zn -5.300 -2.192 5.424
Zn -5.633 -4.441 3.658

---

# 2
8
Lattice="-3.539 2.802 1.656 -0.876 -3.740 4.457 3.135 2.404 2.633" Properties=species:S:1:pos:R:3 comment="TaZn (PBE, optimized geometry)" total_magnetization_mub_per_cell=0.00 total_energy_ev_per_atom=-6.4024 pbc="T T T"
Zn -1.605 2.655 3.767
Zn 0.364 2.105 1.925
Zn -3.535 2.749 1.699
Zn -1.965 0.496 1.886
Ta -0.111 0.289 4.148
Ta -2.090 0.797 6.040
Ta -2.366 -1.427 4.119
Ta -3.926 0.866 3.883

---

# 3
14
Lattice="-3.678 3.858 -5.253 -4.215 -3.604 -5.026 -3.643 0.347 2.806" Properties=species:S:1:pos:R:3 comment="Ta3Zn4 (PBE, optimized geometry)" total_magnetization_mub_per_cell=0.02 total_energy_ev_per_atom=-5.7621 pbc="T T T"
Ta -6.214 0.710 -8.155
Ta -3.657 1.358 -1.127
Ta -3.442 -0.877 -4.361
Ta -6.127 -1.906 -3.929
Ta -1.697 -0.537 -2.136
Ta -7.034 0.366 -5.388
Zn -8.832 -0.152 -7.659
Zn -2.721 1.706 -3.744
Zn -4.415 1.228 -5.884
Zn -3.680 3.824 -5.252
Zn -6.311 2.973 -4.773
Zn -5.352 0.855 -3.265
Zn -5.189 -1.435 -6.560
Zn -4.380 -1.347 -1.730

---

# 4
8
Lattice="4.958 -2.862 0.000 0.000 5.725 0.000 0.000 0.000 4.771" Properties=species:S:1:pos:R:3 comment="TaZn (PBE, optimized geometry)" total_magnetization_mub_per_cell=0.00 total_energy_ev_per_atom=-6.4050 pbc="T T T"
Zn 2.521 1.359 0.000
Zn 1.653 2.862 2.386
Zn 4.874 0.000 0.000
Zn 2.521 -1.359 0.000
Ta 0.000 0.000 0.000
Ta 1.634 0.000 2.386
Ta 4.141 1.447 2.386
Ta 4.141 -1.447 2.386

---

# 5
8
Lattice="-3.575 -1.828 -9.094 2.523 -0.654 -0.860 -0.782 -4.652 1.243" Properties=species:S:1:pos:R:3 comment="TaZn (PBE, optimized geometry)" total_magnetization_mub_per_cell=0.01 total_energy_ev_per_atom=-6.4813 pbc="T T T"
Ta -0.551 -3.380 -3.425
Ta -1.856 -0.949 -4.720
Ta 0.376 -0.779 -2.681
Ta -2.783 -3.549 -5.464
Zn -1.484 -1.730 -7.412
Zn -2.415 -4.333 -8.167
Zn -3.567 -1.824 -9.073
Zn -0.923 -2.598 -0.733

---

# 6
10
Lattice="-0.424 -4.838 -1.115 1.832 -4.132 6.063 -4.499 0.070 1.407" Properties=species:S:1:pos:R:3 comment="TaZn (PBE, optimized geometry)" total_magnetization_mub_per_cell=0.01 total_energy_ev_per_atom=-6.3982 pbc="T T T"
Zn 0.185 -2.705 0.728
Zn -0.405 -4.807 -1.055
Zn -2.518 -3.202 0.006
Zn -1.926 -1.103 1.795
Zn -1.521 -6.669 3.368
Ta 1.014 -3.450 3.415
Ta -0.925 -4.571 5.170
Ta 0.408 -5.530 1.581
Ta 1.199 -6.193 4.142
Ta -1.695 -3.925 2.676

---

# 7
16
Lattice="-4.036 -0.092 1.768 -1.173 -12.996 -3.353 1.725 -1.157 3.880" Properties=species:S:1:pos:R:3 comment="TaZn (PBE, optimized geometry)" total_magnetization_mub_per_cell=0.01 total_energy_ev_per_atom=-6.5033 pbc="T T T"
Zn -2.972 -2.285 3.136
Zn -1.840 -1.664 0.322
Zn -1.100 -3.701 1.882
Zn -2.426 -8.161 -1.354
Zn -3.712 -0.248 1.577
Zn -3.559 -8.786 1.459
Zn -4.562 -9.667 -0.853
Zn -1.423 -7.279 0.959
Ta -0.807 -0.635 2.665
Ta -4.302 -6.601 -0.055
Ta -4.006 -3.315 0.793
Ta -2.697 -11.410 -2.202
Ta -3.850 -12.034 0.620
Ta -2.135 -4.912 -0.515
Ta -3.288 -5.536 2.308
Ta -1.683 -10.344 0.160

---

# 8
10
Lattice="2.457 4.255 0.000 -5.056 5.756 0.000 0.000 0.000 4.607" Properties=species:S:1:pos:R:3 comment="TaZn (PBE, optimized geometry)" total_magnetization_mub_per_cell=0.03 total_energy_ev_per_atom=-6.4490 pbc="T T T"
Ta -2.626 7.063 0.000
Ta -0.795 1.406 2.304
Ta -0.928 4.319 2.304
Ta -0.008 5.853 0.000
Ta 0.074 2.969 0.000
Zn -3.440 5.653 2.304
Zn -2.647 4.327 0.000
Zn -3.353 8.539 2.304
Zn -0.984 7.172 2.304
Zn -4.985 5.677 0.000

---

# 9
2
Lattice="-0.595 -1.304 3.782 -2.940 1.618 2.258 -3.291 -2.175 0.895" Properties=species:S:1:pos:R:3 comment="TaZn (PBE, optimized geometry)" total_magnetization_mub_per_cell=0.01 total_energy_ev_per_atom=-4.6510 pbc="T T T"
Zn -1.707 -0.465 1.734
Ta 0.000 0.000 0.000

---

# 10
8
Lattice="5.127 0.000 0.000 0.000 5.456 0.000 0.000 0.000 4.629" Properties=species:S:1:pos:R:3 comment="TaZn (PBE, optimized geometry)" total_magnetization_mub_per_cell=0.00 total_energy_ev_per_atom=-6.4574 pbc="T T T"
Zn 1.661 2.742 2.314
Zn 2.612 1.350 0.000
Zn 4.225 4.078 2.314
Zn 0.048 0.014 0.000
Ta 4.069 1.388 2.314
Ta 0.204 2.703 0.000
Ta 2.768 4.116 0.000
Ta 1.505 5.431 2.314

---

# 11
24
Lattice="-4.926 -11.991 -0.348 6.170 -2.605 2.420 -1.373 0.448 3.983" Properties=species:S:1:pos:R:3 comment="TaZn (PBE, optimized geometry)" total_magnetization_mub_per_cell=0.00 total_energy_ev_per_atom=-6.5065 pbc="T T T"
Ta -0.794 -6.377 0.444
Ta 2.360 -7.415 1.648
Ta -3.897 -12.034 2.264
Ta -4.689 -11.473 -0.325
Ta -0.948 -13.573 3.454
Ta -1.740 -13.012 0.865
Ta 2.491 -5.301 3.708
Ta 1.543 -11.934 4.128
Ta -3.071 -5.639 1.829
Ta 0.083 -6.678 3.033
Ta 3.917 -3.727 1.769
Ta 2.968 -10.359 2.189
Zn -2.152 -8.199 2.434
Zn 0.036 -8.940 1.018
Zn -1.367 -3.707 -0.054
Zn -1.243 -1.511 1.995
Zn -1.517 -10.826 2.949
Zn -2.250 -10.332 0.387
Zn 0.532 -11.544 1.482
Zn 0.806 -2.229 0.529
Zn 0.656 -9.348 3.531
Zn -0.747 -4.115 2.459
Zn 1.539 -2.723 3.090
Zn 1.441 -4.856 1.043

---

# 12
4
Lattice="2.060 -0.320 4.295 0.569 3.915 2.673 -2.614 0.594 3.951" Properties=species:S:1:pos:R:3 comment="Zr2TaZn (PBE, optimized geometry)" total_magnetization_mub_per_cell=0.01 total_energy_ev_per_atom=-7.3972 pbc="T T T"
Ta 0.004 1.047 2.730
Zr 0.011 3.142 8.189
Zr 0.000 0.000 0.000
Zn 0.008 2.094 5.460